First-principles (PBE+U) data for SrTl2MoF8 after structural relaxation, as listed in Alexandria via LeMat-Bulk.

abc: 4.547 6.574 7.688
angles: 89.65 90.12 94.75
Fractional coordinates of all 12 atoms:
F 0.552 0.771 0.498
F 0.448 0.229 0.502
F 0.373 0.173 0.003
F 0.903 0.181 0.209
F 0.106 0.823 0.202
F 0.894 0.177 0.798
F 0.627 0.827 0.997
F 0.097 0.819 0.791
Sr 0.000 0.000 0.500
Tl 0.494 0.510 0.753
Tl 0.506 0.490 0.247
Mo 0.000 0.000 0.000

VASP energy, eV/f.u.: -60.0